(1)
FeNiRu4 | PBE-GGA | optimized geometry

Cell lengths 5.020, 5.020, 5.020 Å; angles 60.00, 60.00, 60.00 degrees
Fractional positions:
Ru: 0.375 0.876 0.375
Ru: 0.876 0.375 0.375
Ru: 0.375 0.375 0.876
Ru: 0.375 0.375 0.375
Fe: 0.750 0.750 0.750
Ni: 0.000 0.000 0.000

## Properties
Formation energy = 0.69 eV/atom


(2)
CrSbP | PBE-GGA | optimized geometry

Cell lengths 12.269, 4.905, 3.301 Å; angles 90.00, 90.00, 90.00 degrees
Fractional positions:
Sb: 0.710 0.000 0.500
Sb: 0.790 0.500 0.000
Sb: 0.290 0.000 0.500
Sb: 0.210 0.500 0.000
Cr: 0.394 0.500 0.500
Cr: 0.106 0.000 0.000
Cr: 0.606 0.500 0.500
Cr: 0.894 0.000 0.000
P: 0.000 0.250 0.500
P: 0.500 0.250 0.000
P: 0.500 0.750 0.000
P: 0.000 0.750 0.500

## Properties
Energy relative to the elements, uncorrected = -0.08 eV per atom
ΔE to the lowest computed polymorph = 81 meV per atom


(3)
La8Hg3Ir3N | PBE-GGA | optimized geometry

Cell lengths 8.241, 8.254, 9.270 Å; angles 116.47, 90.00, 119.95 degrees
Fractional positions:
Hg: 0.500 0.500 0.000
Hg: 0.000 0.000 0.000
Hg: 0.000 0.500 0.000
Ir: 0.500 0.000 0.500
Ir: 0.500 0.500 0.500
Ir: 0.000 0.500 0.500
La: 0.246 0.030 0.313
La: 0.782 0.564 0.312
La: 0.266 0.531 0.297
La: 0.734 0.469 0.703
La: 0.218 0.436 0.688
La: 0.217 0.970 0.687
La: 0.754 0.970 0.687
La: 0.783 0.030 0.313
N: 0.000 0.000 0.500

## Properties
Energy relative to the elements, uncorrected = -0.66 eV per atom


(4)
SrGa2Cu4 | PBE-GGA | optimized geometry

Cell lengths 6.730, 6.730, 6.730 Å; angles 111.70, 108.37, 108.37 degrees
Fractional positions:
Ga: 0.500 0.341 0.159
Ga: 0.182 0.841 0.341
Ga: 0.500 0.659 0.841
Ga: 0.818 0.159 0.659
Cu: 0.222 0.199 0.699
Cu: 0.500 0.699 0.476
Cu: 0.778 0.476 0.976
Cu: 0.500 0.024 0.801
Cu: 0.778 0.801 0.301
Cu: 0.500 0.976 0.199
Cu: 0.222 0.524 0.024
Cu: 0.500 0.301 0.524
Sr: 0.000 0.750 0.750
Sr: 0.000 0.250 0.250

## Properties
Formation energy = -0.21 eV/atom


We obtain calculated density values of 9.63 6.85 8.16 6.82 g/cm³ for the records listed above, in that order.
We obtain raw total energy values of -7.865 -6.467 -5.673 -3.658 eV per atom for the records listed above, in that order.